Computed, not measured: crystalline CsVFe2F8 at its relaxed geometry at the PBE with a Hubbard U level of DFT.

Cell: 5.5303 5.5303 25.1406 Å, 90.00 90.00 120.00°
Space group R-3 (No. 148, hexagonal axes)
Asymmetric unit:
Cs 0.0000 0.0000 0.0000 (multiplicity 3)
V 0.0000 0.0000 0.5000 (multiplicity 3)
Fe 0.0000 0.0000 0.2347 (multiplicity 6)
F 0.0000 0.0000 0.3092 (multiplicity 6)
F 0.0115 0.3217 0.4518 (multiplicity 18)

Calculated values
total energy: -5.298 eV per atom
V: 18.5 Å³/atom